Entry from Alexandria via LeMat-Bulk: a geometry-optimized BaSc3Cd structure (PBE-GGA).

The calculation puts the relative energy among the computed polymorphs at 795 meV per atom. The density of states at the Fermi level comes out at 1.36 states/eV per atom. As for the formation energy: 1.158 eV per atom.

The structure belongs to space group Pm-3m (No. 221); the cell edges are 5.326, 5.326 and 5.326 Å and the angles 90.00°, 90.00° and 90.00°. The distinct sites, in fractional coordinates, are Ba at (0.000, 0.000, 0.000), Sc at (0.000, 0.000, 0.500) and Cd at (0.500, 0.500, 0.500).

Entry from Alexandria via LeMat-Bulk: a geometry-optimized ScNi12 structure (PBE-GGA).

The density of states at the Fermi level comes out at 1.38 states/eV per atom. As for the formation energy: 0.776 eV per atom.

The structure belongs to space group Fm-3m (No. 225); the cell edges are 9.415, 9.415 and 9.415 Å and the angles 90.00°, 90.00° and 90.00°. The distinct sites, in fractional coordinates, are Sc at (0.000, 0.000, 0.000) and Ni at (0.000, 0.170, 0.330).

Entry from Alexandria via LeMat-Bulk: a geometry-optimized Co2OsPb2 structure (PBE-GGA).

The calculation puts the relative energy among the computed polymorphs at 0 meV per atom. The density of states at the Fermi level comes out at 1.03 states/eV per atom. As for the formation energy: 0.760 eV per atom.

The structure belongs to space group P4/mbm (No. 127); the cell edges are 6.536, 6.536 and 4.169 Å and the angles 90.00°, 90.00° and 90.00°. The distinct sites, in fractional coordinates, are Co at (0.126, 0.374, 0.000), Os at (0.000, 0.000, 0.000) and Pb at (0.182, 0.682, 0.500).

Entry from Alexandria via LeMat-Bulk: a geometry-optimized SbOs2Au structure (PBE-GGA).

The density of states at the Fermi level comes out at 0.44 states/eV per atom. The uncorrected formation energy is 0.71 eV/atom.

The structure belongs to space group P4/mmm (No. 123); the cell edges are 4.198, 4.198 and 3.758 Å and the angles 90.00°, 90.00° and 90.00°. The distinct sites, in fractional coordinates, are Sb at (0.000, 0.000, 0.000), Os at (0.000, 0.500, 0.500) and Au at (0.500, 0.500, 0.000).

Entry from Alexandria via LeMat-Bulk: a geometry-optimized DyInIrRh structure (PBE-GGA).

The calculation puts the relative energy among the computed polymorphs at 0 meV per atom. The density of states at the Fermi level comes out at 0.23 states/eV per atom. As for the formation energy: -0.652 eV per atom.

The structure belongs to space group Pmmm (No. 47); the cell edges are 3.602, 4.502 and 4.516 Å and the angles 90.00°, 90.00° and 90.00°. The distinct sites, in fractional coordinates, are Dy at (0.000, 0.000, 0.000), In at (0.000, 0.500, 0.500), Ir at (0.500, 0.500, 0.000) and Rh at (0.500, 0.000, 0.500).

Entry from Alexandria via LeMat-Bulk: a geometry-optimized Li3SbS structure (PBE-GGA).

The calculation puts the relative energy among the computed polymorphs at 632 meV per atom. The density of states at the Fermi level comes out at 0.37 states/eV per atom. The uncorrected formation energy is 0.00 eV/atom.

The structure belongs to space group Pm-3m (No. 221); the cell edges are 5.147, 5.147 and 5.147 Å and the angles 90.00°, 90.00° and 90.00°. The distinct sites, in fractional coordinates, are Li at (0.000, 0.000, 0.500), Sb at (0.000, 0.000, 0.000) and S at (0.500, 0.500, 0.500).

Result set for final energy: -3.21; -5.05; -5.81; -6.75; -6.54; -2.80 eV/atom, one per record in the order listed.